Compound: TbSmAsO
Source: OQMD
Functional: PBE
Structure: relaxed

Values from the calculation:
Calculated density   7.71 g cm⁻³
Energy above the lowest structure with this stoichiometry   74.2 meV/atom
Calculated volume   21.5 Å³/atom
Magnetization   0.01 μB per formula unit

Cell: 4.385 4.385 8.965 Å, 90.00 90.00 90.00°
Space group P4/nmm (No. 129, origin choice 2)
One atom of each set of equivalent atoms:
Tb  0.250  0.750  0.000 [2 per cell]
Sm  0.250  0.250  0.395 [2 per cell]
As  0.250  0.250  0.797 [2 per cell]
O  0.250  0.750  0.500 [2 per cell]